No. 1
First-principles (PBE) data for Pm3Mg4Tl4 after structural relaxation, as listed in the Alexandria database.

Lattice parameters (Å, degrees): 9.1055 9.1055 9.1055 149.62 130.01 59.63
With the nearest neighbours (Å) after each atom.
Element x y z (fractional)
Pm 0.0000 0.0000 0.0000  6 Tl 3.32-3.43
Pm 0.3805 0.8805 0.5000  6 Tl 3.41-3.51, 6 Mg 3.45-3.61, 1 Pm 3.78
Pm 0.6195 0.1195 0.5000  6 Tl 3.41-3.51, 6 Mg 3.45-3.61, 1 Pm 3.78
Mg 0.0224 0.3273 0.6951  4 Tl 2.84-2.92, 1 Mg 3.00
Mg 0.3678 0.6727 0.6951  4 Tl 2.84-2.92, 1 Mg 3.00
Mg 0.6322 0.3273 0.3049  4 Tl 2.84-2.92, 1 Mg 3.00
Mg 0.9776 0.6727 0.3049  4 Tl 2.84-2.92, 1 Mg 3.00
Tl 0.2173 0.2173 0.0000  6 Mg 2.91-2.92
Tl 0.2995 0.5000 0.7995  2 Mg 2.84, 1 Tl 3.09
Tl 0.7005 0.5000 0.2005  2 Mg 2.84, 1 Tl 3.09
Tl 0.7827 0.7827 0.0000  6 Mg 2.91-2.92

Results
Electronic total energy: -33.3 eV for the cell shown
Symmetry: No. 71
Size of the total moment: 0.000 μB per atom
Crystal system: orthorhombic



No. 2
First-principles (PBE) data for Pm5MgTl3 after structural relaxation, as listed in the Alexandria database.

Lattice parameters (Å, degrees): 9.5720 9.5720 6.7513 90.00 90.00 120.00
With the nearest neighbours (Å) after each atom.
Element x y z (fractional)
Pm 0.0000 0.3035 0.2500  5 Tl 3.20-3.42, 2 Mg 3.36
Pm 0.0000 0.6965 0.7500  5 Tl 3.20-3.42, 2 Mg 3.36
Pm 0.3035 0.0000 0.2500  5 Tl 3.20-3.42, 2 Mg 3.36
Pm 0.3035 0.3035 0.7500  5 Tl 3.20-3.42, 2 Mg 3.36
Pm 0.3333 0.6667 0.0000  8 Pm 3.38-3.74, 6 Tl 3.51
Pm 0.3333 0.6667 0.5000  8 Pm 3.38-3.74, 6 Tl 3.51
Pm 0.6667 0.3333 0.0000  8 Pm 3.38-3.74, 6 Tl 3.51
Pm 0.6667 0.3333 0.5000  8 Pm 3.38-3.74, 6 Tl 3.51
Pm 0.6965 0.0000 0.7500  5 Tl 3.20-3.42, 2 Mg 3.36
Pm 0.6965 0.6965 0.2500  5 Tl 3.20-3.42, 2 Mg 3.36
Mg 0.0000 0.0000 0.0000  6 Pm 3.36, 2 Mg 3.38
Mg 0.0000 0.0000 0.5000  6 Pm 3.36, 2 Mg 3.38
Tl 0.0000 0.3579 0.7500  9 Pm 3.20-3.51
Tl 0.0000 0.6421 0.2500  9 Pm 3.20-3.51
Tl 0.3579 0.0000 0.7500  9 Pm 3.20-3.51
Tl 0.3579 0.3579 0.2500  9 Pm 3.20-3.51
Tl 0.6421 0.0000 0.2500  9 Pm 3.20-3.51
Tl 0.6421 0.6421 0.7500  9 Pm 3.20-3.51

Results
Electronic total energy: -70.3 eV for the cell shown
Symmetry: No. 193
Size of the total moment: 0.000 μB per atom
Crystal system: hexagonal



No. 3
First-principles (PBE) data for PmMgTl3 after structural relaxation, as listed in the Alexandria database.

Lattice parameters (Å, degrees): 7.5456 7.5456 6.3914 103.00 103.00 50.76
With the nearest neighbours (Å) after each atom.
Element x y z (fractional)
Pm 0.0907 0.0907 0.2825  7 Tl 3.25-3.51
Pm 0.9093 0.9093 0.7175  7 Tl 3.25-3.51
Mg 0.5000 0.5000 0.0000  6 Tl 2.98-3.04, 2 Mg 3.20
Mg 0.5000 0.5000 0.5000  6 Tl 2.94-3.01, 2 Mg 3.20
Tl 0.0968 0.6159 0.1702  2 Mg 2.98-3.01, 3 Tl 3.11-3.23
Tl 0.3086 0.3086 0.6340  2 Mg 2.94-3.04, 2 Tl 3.23, 1 Pm 3.25
Tl 0.3841 0.9032 0.8298  2 Mg 2.98-3.01, 3 Tl 3.11-3.23
Tl 0.6159 0.0968 0.1702  2 Mg 2.98-3.01, 3 Tl 3.11-3.23
Tl 0.6914 0.6914 0.3660  2 Mg 2.94-3.04, 2 Tl 3.23, 1 Pm 3.25
Tl 0.9032 0.3841 0.8298  2 Mg 2.98-3.01, 3 Tl 3.11-3.23

Results
Electronic total energy: -28.2 eV for the cell shown
Symmetry: No. 12
Size of the total moment: 0.000 μB per atom
Crystal system: monoclinic



No. 4
First-principles (PBE) data for Pm3Mg7Tl4 after structural relaxation, as listed in the Alexandria database.

Lattice parameters (Å, degrees): 9.0263 9.0263 10.8547 125.41 125.41 30.52
With the nearest neighbours (Å) after each atom.
Element x y z (fractional)
Pm 0.0000 0.0000 0.0000  6 Tl 3.36-3.49, 6 Mg 3.69-3.75
Pm 0.2990 0.2990 0.2897  4 Tl 3.41-3.42, 10 Mg 3.41-3.68
Pm 0.7010 0.7010 0.7103  4 Tl 3.41-3.42, 10 Mg 3.41-3.68
Mg 0.0000 0.0000 0.5000  2 Tl 2.96, 6 Mg 3.12-3.25
Mg 0.1584 0.1584 0.4325  3 Tl 2.99-3.04, 3 Mg 3.17-3.25
Mg 0.3330 0.3330 0.9866  4 Tl 2.83-2.96, 1 Mg 3.06
Mg 0.4901 0.4901 0.6761  3 Tl 2.90-3.05, 5 Mg 3.06-3.17
Mg 0.5099 0.5099 0.3239  3 Tl 2.90-3.05, 5 Mg 3.06-3.17
Mg 0.6670 0.6670 0.0134  4 Tl 2.83-2.96, 1 Mg 3.06
Mg 0.8416 0.8416 0.5675  3 Tl 2.99-3.04, 3 Mg 3.17-3.25
Tl 0.1246 0.1246 0.8412  6 Mg 2.83-3.05
Tl 0.3539 0.3539 0.7463  5 Mg 2.84-3.04
Tl 0.6461 0.6461 0.2537  5 Mg 2.84-3.04
Tl 0.8754 0.8754 0.1588  6 Mg 2.83-3.05

Results
Electronic total energy: -38.1 eV for the cell shown
Symmetry: No. 12
Size of the total moment: 0.000 μB per atom
Crystal system: monoclinic



no.,formation enthalpy at 0 K (eV/atom),volume (Å³/f.u.)
1,-0.29,290
2,-0.30,268
3,-0.13,136
4,-0.23,359